Compound: CaMo2O4
Source: Alexandria
Functional: GGA+U
Structure: relaxed

Cell lengths 3.245, 9.584, 11.425 Å; angles 90.00, 90.00, 90.00 degrees
Fractional coordinates of all 28 atoms:
Ca 0.250 0.239 0.345
Ca 0.750 0.761 0.655
Ca 0.250 0.739 0.155
Ca 0.750 0.261 0.845
Mo 0.750 0.412 0.102
Mo 0.250 0.088 0.602
Mo 0.750 0.912 0.398
Mo 0.250 0.588 0.898
Mo 0.250 0.560 0.383
Mo 0.750 0.440 0.617
Mo 0.250 0.060 0.117
Mo 0.750 0.940 0.883
O 0.750 0.914 0.075
O 0.250 0.086 0.925
O 0.750 0.414 0.425
O 0.250 0.586 0.575
O 0.750 0.031 0.713
O 0.250 0.969 0.287
O 0.750 0.531 0.787
O 0.250 0.469 0.213
O 0.750 0.622 0.028
O 0.250 0.378 0.972
O 0.750 0.122 0.472
O 0.250 0.878 0.528
O 0.250 0.800 0.824
O 0.750 0.200 0.176
O 0.750 0.700 0.324
O 0.250 0.300 0.676

Its total energy is -201.227 eV per cell. As for the calculated volume: 355 Å³/cell. Its space group is No. 62.